No. 1
Density functional theory data (GGA-PBE) for a relaxed structure of NdYLuMg.

a b c (Å): 5.531 5.531 5.531
angles (deg): 60.00 60.00 60.00
Fractional positions:
Nd 0.000 0.000 0.000
Y 0.500 0.500 0.500
Lu 0.750 0.750 0.750
Mg 0.250 0.250 0.250


No. 2
Density functional theory data (GGA-PBE) for a relaxed structure of NdLuMgZn.

a b c (Å): 5.224 5.224 5.224
angles (deg): 60.00 60.00 60.00
Fractional positions:
Nd 0.000 0.000 0.000
Lu 0.500 0.500 0.500
Mg 0.250 0.250 0.250
Zn 0.750 0.750 0.750


No. 3
Density functional theory data (GGA-PBE) for a relaxed structure of NdLuMgZr.

a b c (Å): 5.367 5.367 5.367
angles (deg): 60.00 60.00 60.00
Fractional positions:
Nd 0.000 0.000 0.000
Lu 0.500 0.500 0.500
Mg 0.250 0.250 0.250
Zr 0.750 0.750 0.750


No. 4
Density functional theory data (GGA-PBE) for a relaxed structure of Lu2MgNi.

a b c (Å): 4.941 4.941 4.941
angles (deg): 60.00 60.00 60.00
Fractional positions:
Lu 0.250 0.250 0.250
Lu 0.750 0.750 0.750
Mg 0.000 0.000 0.000
Ni 0.500 0.500 0.500

Properties
As for the energy above the lowest structure with this stoichiometry: 148 meV per atom.


No. 5
Density functional theory data (GGA-PBE) for a relaxed structure of Lu2MgNi.

a b c (Å): 3.365 3.365 7.804
angles (deg): 90.00 90.00 90.00
Fractional positions:
Lu 0.000 0.000 0.201
Lu 0.000 0.000 0.799
Mg 0.500 0.500 0.500
Ni 0.500 0.500 0.000

Properties
As for the energy above the lowest structure with this stoichiometry: 0 meV per atom.


No. 6
Density functional theory data (GGA-PBE) for a relaxed structure of Lu2MgNi.

a b c (Å): 4.851 4.851 3.624
angles (deg): 90.00 90.00 90.00
Fractional positions:
Lu 0.000 0.500 0.000
Lu 0.500 0.000 0.000
Mg 0.000 0.000 0.500
Ni 0.500 0.500 0.500

Properties
As for the energy above the lowest structure with this stoichiometry: 137 meV per atom.


No. 7
Density functional theory data (GGA-PBE) for a relaxed structure of LuMgNiPb.

a b c (Å): 4.902 4.902 4.902
angles (deg): 60.00 60.00 60.00
Fractional positions:
Lu 0.000 0.000 0.000
Mg 0.500 0.500 0.500
Ni 0.250 0.250 0.250
Pb 0.750 0.750 0.750


No. 8
Density functional theory data (GGA-PBE) for a relaxed structure of LuMgNiPd.

a b c (Å): 4.622 4.622 4.622
angles (deg): 60.00 60.00 60.00
Fractional positions:
Lu 0.000 0.000 0.000
Mg 0.500 0.500 0.500
Ni 0.750 0.750 0.750
Pd 0.250 0.250 0.250


No. 9
Density functional theory data (GGA-PBE) for a relaxed structure of PmLuMgNi.

a b c (Å): 5.063 5.063 5.063
angles (deg): 60.00 60.00 60.00
Fractional positions:
Pm 0.000 0.000 0.000
Lu 0.500 0.500 0.500
Mg 0.750 0.750 0.750
Ni 0.250 0.250 0.250


No. 10
Density functional theory data (GGA-PBE) for a relaxed structure of LuMgNiRu.

a b c (Å): 4.536 4.536 4.536
angles (deg): 60.00 60.00 60.00
Fractional positions:
Lu 0.000 0.000 0.000
Mg 0.500 0.500 0.500
Ni 0.250 0.250 0.250
Ru 0.750 0.750 0.750


No. 11
Density functional theory data (GGA-PBE) for a relaxed structure of SmLuMgNi.

a b c (Å): 5.049 5.049 5.049
angles (deg): 60.00 60.00 60.00
Fractional positions:
Sm 0.000 0.000 0.000
Lu 0.500 0.500 0.500
Mg 0.750 0.750 0.750
Ni 0.250 0.250 0.250


No. 12
Density functional theory data (GGA-PBE) for a relaxed structure of TbLuMgNi.

a b c (Å): 5.004 5.004 5.004
angles (deg): 60.00 60.00 60.00
Fractional positions:
Tb 0.000 0.000 0.000
Lu 0.500 0.500 0.500
Mg 0.750 0.750 0.750
Ni 0.250 0.250 0.250


Number 1: DFT formation energy 0.013 eV/atom, energy -17.296 eV per formula unit. Number 2: DFT formation energy -0.165 eV/atom, energy -12.818 eV per formula unit. Number 3: DFT formation energy 0.144 eV/atom, energy -18.857 eV per formula unit. Number 4: DFT formation energy -0.143 eV/atom, energy -16.990 eV per formula unit. Number 5: DFT formation energy -0.291 eV/atom, energy -17.580 eV per formula unit. Number 6: DFT formation energy -0.153 eV/atom, energy -17.031 eV per formula unit. Number 7: DFT formation energy -0.144 eV/atom, energy -16.180 eV per formula unit. Number 8: DFT formation energy -0.582 eV/atom, energy -19.416 eV per formula unit. Number 9: DFT formation energy -0.098 eV/atom, energy -17.039 eV per formula unit. Number 10: DFT formation energy -0.264 eV/atom, energy -22.228 eV per formula unit. Number 11: DFT formation energy -0.104 eV/atom, energy -17.033 eV per formula unit. Number 12: DFT formation energy -0.126 eV/atom, energy -17.031 eV per formula unit.